The following is a PBE-GGA calculation of a relaxed Tb5In3Sn crystal, from Alexandria via LeMat-Bulk.

energy: -4.4068 eV per atom
total moment: 0.000 μB/f.u.

Cell: 9.4254 9.4254 6.5958 Å, 90.00 90.00 120.00°
Space group P6_3/mcm (No. 193)
One atom of each set of equivalent atoms:
Tb 0.0000 0.2791 0.2500 (multiplicity 6)
Tb 0.3333 0.6667 0.0000 (multiplicity 4)
In 0.0000 0.3818 0.7500 (multiplicity 6)
Sn 0.0000 0.0000 0.0000 (multiplicity 2)